1.
Compound: Pm6Sm3Er2Tm
Source: the Alexandria database
Functional: GGA-PBE
Structure: relaxed

Cell: 6.258 6.258 11.896 Å, 95.02 95.02 120.00°
Sites, in units of the cell vectors:
Pm (0.084, 0.418, 0.754)
Pm (0.249, 0.249, 0.246)
Pm (0.418, 0.084, 0.754)
Pm (0.582, 0.916, 0.246)
Pm (0.751, 0.751, 0.754)
Pm (0.916, 0.582, 0.246)
Sm (0.000, 0.000, 0.500)
Sm (0.333, 0.667, 0.500)
Sm (0.667, 0.333, 0.500)
Er (0.167, 0.833, 0.000)
Er (0.833, 0.167, 0.000)
Tm (0.500, 0.500, 0.000)

Calculated values
Total magnetic moment, μB/cell: 0.00
D(E_F), states/eV per cell: 14.94
Electronic total energy, eV per atom: -4.6728
Space group: C2/m, No. 12
ΔE_f, meV/atom: 15
Mass density, g/cm3: 7.63

---

2.
Compound: Pm4SmErTm2
Source: the Alexandria database
Functional: GGA-PBE
Structure: relaxed

Cell: 6.216 3.599 11.828 Å, 90.00 100.15 90.00°
Sites, in units of the cell vectors:
Pm (0.249, 0.000, 0.247)
Pm (0.250, 0.500, 0.751)
Pm (0.750, 0.500, 0.249)
Pm (0.751, 0.000, 0.753)
Sm (0.500, 0.500, 0.500)
Er (0.500, 0.000, 0.000)
Tm (0.000, 0.000, 0.500)
Tm (0.000, 0.500, 0.000)

Calculated values
Total magnetic moment, μB/cell: 0.00
D(E_F), states/eV per cell: 10.44
Electronic total energy, eV per atom: -4.6356
Space group: P2/m, No. 10
ΔE_f, meV/atom: 18
Mass density, g/cm3: 7.88

---

3.
Compound: Pm2Sm5ErTm
Source: the Alexandria database
Functional: GGA-PBE
Structure: relaxed

Cell: 10.223 10.223 10.223 Å, 130.51 130.51 72.59°
Sites, in units of the cell vectors:
Pm (0.121, 0.621, 0.741)
Pm (0.379, 0.121, 0.500)
Pm (0.621, 0.879, 0.500)
Pm (0.879, 0.379, 0.259)
Sm (0.000, 0.000, 0.000)
Sm (0.074, 0.141, 0.500)
Sm (0.141, 0.641, 0.067)
Sm (0.359, 0.426, 0.500)
Sm (0.426, 0.926, 0.067)
Sm (0.500, 0.500, 0.000)
Sm (0.574, 0.074, 0.933)
Sm (0.641, 0.574, 0.500)
Sm (0.859, 0.359, 0.933)
Sm (0.926, 0.859, 0.500)
Er (0.250, 0.750, 0.500)
Er (0.750, 0.250, 0.500)
Tm (0.250, 0.250, 0.000)
Tm (0.750, 0.750, 0.000)

Calculated values
Total magnetic moment, μB/cell: 0.01
D(E_F), states/eV per cell: 26.64
Electronic total energy, eV per atom: -4.3999
Space group: I4/mcm, No. 140
ΔE_f, meV/atom: 281
Mass density, g/cm3: 7.59

---

4.
Compound: PmSmEr2Tm5
Source: the Alexandria database
Functional: GGA-PBE
Structure: relaxed

Cell: 9.600 9.600 9.600 Å, 125.06 125.06 81.44°
Sites, in units of the cell vectors:
Pm (0.250, 0.250, 0.000)
Pm (0.750, 0.750, 0.000)
Sm (0.250, 0.750, 0.500)
Sm (0.750, 0.250, 0.500)
Er (0.113, 0.613, 0.726)
Er (0.387, 0.113, 0.500)
Er (0.613, 0.887, 0.500)
Er (0.887, 0.387, 0.274)
Tm (0.000, 0.000, 0.000)
Tm (0.072, 0.165, 0.500)
Tm (0.165, 0.665, 0.093)
Tm (0.335, 0.428, 0.500)
Tm (0.428, 0.928, 0.093)
Tm (0.500, 0.500, 0.000)
Tm (0.572, 0.072, 0.907)
Tm (0.665, 0.572, 0.500)
Tm (0.835, 0.335, 0.907)
Tm (0.928, 0.835, 0.500)

Calculated values
Total magnetic moment, μB/cell: 0.00
D(E_F), states/eV per cell: 22.60
Electronic total energy, eV per atom: -4.2592
Space group: I4/mcm, No. 140
ΔE_f, meV/atom: 291
Mass density, g/cm3: 8.58

---

5.
Compound: PmSm3Er2Tm6
Source: the Alexandria database
Functional: GGA-PBE
Structure: relaxed

Cell: 6.134 6.134 11.676 Å, 95.01 95.01 119.97°
Sites, in units of the cell vectors:
Pm (0.000, 0.000, 0.000)
Sm (0.167, 0.833, 0.500)
Sm (0.500, 0.500, 0.500)
Sm (0.833, 0.167, 0.500)
Er (0.333, 0.667, 0.000)
Er (0.667, 0.333, 0.000)
Tm (0.083, 0.417, 0.248)
Tm (0.251, 0.251, 0.752)
Tm (0.417, 0.083, 0.248)
Tm (0.583, 0.917, 0.752)
Tm (0.749, 0.749, 0.248)
Tm (0.917, 0.583, 0.752)

Calculated values
Total magnetic moment, μB/cell: 0.00
D(E_F), states/eV per cell: 15.31
Electronic total energy, eV per atom: -4.5507
Space group: C2/m, No. 12
ΔE_f, meV/atom: 21
Mass density, g/cm3: 8.62

---

6.
Compound: Pm2SmErTm
Source: the Alexandria database
Functional: GGA-PBE
Structure: relaxed

Cell: 7.130 7.130 7.259 Å, 90.00 90.00 107.67°
Sites, in units of the cell vectors:
Pm (0.193, 0.193, 0.000)
Pm (0.193, 0.193, 0.500)
Pm (0.807, 0.807, 0.000)
Pm (0.807, 0.807, 0.500)
Sm (0.225, 0.775, 0.750)
Sm (0.775, 0.225, 0.250)
Er (0.494, 0.506, 0.750)
Er (0.506, 0.494, 0.250)
Tm (0.229, 0.771, 0.250)
Tm (0.771, 0.229, 0.750)

Calculated values
Total magnetic moment, μB/cell: 0.00
D(E_F), states/eV per cell: 14.56
Electronic total energy, eV per atom: -4.2452
Space group: Cmcm, No. 63
ΔE_f, meV/atom: 406
Mass density, g/cm3: 7.34

---

7.
Compound: Pm5SmEr2Tm
Source: the Alexandria database
Functional: GGA-PBE
Structure: relaxed

Cell: 10.521 10.521 10.702 Å, 90.00 90.00 149.01°
Sites, in units of the cell vectors:
Pm (0.016, 0.984, 0.500)
Pm (0.281, 0.719, 0.789)
Pm (0.298, 0.702, 0.185)
Pm (0.389, 0.611, 0.503)
Pm (0.481, 0.519, 0.222)
Pm (0.519, 0.481, 0.722)
Pm (0.611, 0.389, 0.003)
Pm (0.702, 0.298, 0.685)
Pm (0.719, 0.281, 0.289)
Pm (0.984, 0.016, 0.000)
Sm (0.200, 0.800, 0.490)
Sm (0.800, 0.200, 0.990)
Er (0.111, 0.889, 0.219)
Er (0.115, 0.885, 0.793)
Er (0.885, 0.115, 0.293)
Er (0.889, 0.111, 0.719)
Tm (0.410, 0.590, 0.940)
Tm (0.590, 0.410, 0.440)

Calculated values
Total magnetic moment, μB/cell: 0.00
D(E_F), states/eV per cell: 28.74
Electronic total energy, eV per atom: -4.5280
Space group: Cmc2_1, No. 36
ΔE_f, meV/atom: 146
Mass density, g/cm3: 7.51

---

8.
Compound: PmSmEr5Tm2
Source: the Alexandria database
Functional: GGA-PBE
Structure: relaxed

Cell: 10.227 10.227 10.525 Å, 90.00 90.00 148.42°
Sites, in units of the cell vectors:
Pm (0.083, 0.917, 0.500)
Pm (0.917, 0.083, 0.000)
Sm (0.299, 0.701, 0.062)
Sm (0.701, 0.299, 0.562)
Er (0.022, 0.978, 0.785)
Er (0.109, 0.891, 0.073)
Er (0.201, 0.799, 0.759)
Er (0.218, 0.782, 0.360)
Er (0.483, 0.517, 0.077)
Er (0.517, 0.483, 0.577)
Er (0.782, 0.218, 0.860)
Er (0.799, 0.201, 0.259)
Er (0.891, 0.109, 0.573)
Er (0.978, 0.022, 0.285)
Tm (0.387, 0.613, 0.369)
Tm (0.390, 0.610, 0.786)
Tm (0.610, 0.390, 0.286)
Tm (0.613, 0.387, 0.869)

Calculated values
Total magnetic moment, μB/cell: 0.00
D(E_F), states/eV per cell: 28.00
Electronic total energy, eV per atom: -4.4168
Space group: Cmc2_1, No. 36
ΔE_f, meV/atom: 164
Mass density, g/cm3: 8.47

---

9.
Compound: PmSmEr3Tm
Source: the Alexandria database
Functional: GGA-PBE
Structure: relaxed

Cell: 9.974 9.974 7.137 Å, 90.48 90.48 32.84°
Sites, in units of the cell vectors:
Pm (0.147, 0.147, 0.033)
Pm (0.853, 0.853, 0.967)
Sm (0.452, 0.452, 0.740)
Sm (0.548, 0.548, 0.260)
Er (0.024, 0.024, 0.740)
Er (0.281, 0.281, 0.751)
Er (0.334, 0.334, 0.264)
Er (0.666, 0.666, 0.736)
Er (0.719, 0.719, 0.249)
Er (0.976, 0.976, 0.260)
Tm (0.150, 0.150, 0.456)
Tm (0.850, 0.850, 0.544)

Calculated values
Total magnetic moment, μB/cell: 0.00
D(E_F), states/eV per cell: 20.06
Electronic total energy, eV per atom: -4.4034
Space group: C2/m, No. 12
ΔE_f, meV/atom: 202
Mass density, g/cm3: 8.33

---

10.
Compound: PmSm2Er2Tm2
Source: the Alexandria database
Functional: GGA-PBE
Structure: relaxed

Cell: 8.970 8.970 8.379 Å, 116.21 116.21 22.42°
Sites, in units of the cell vectors:
Pm (0.000, 0.000, 0.000)
Sm (0.351, 0.351, 0.113)
Sm (0.649, 0.649, 0.887)
Er (0.429, 0.429, 0.593)
Er (0.571, 0.571, 0.407)
Tm (0.211, 0.211, 0.300)
Tm (0.789, 0.789, 0.700)

Calculated values
Total magnetic moment, μB/cell: 0.00
D(E_F), states/eV per cell: 11.88
Electronic total energy, eV per atom: -4.4580
Space group: C2/m, No. 12
ΔE_f, meV/atom: 150
Mass density, g/cm3: 8.09

---

11.
Compound: Pm6SmEr2Tm3
Source: the Alexandria database
Functional: GGA-PBE
Structure: relaxed

Cell: 6.221 6.221 11.776 Å, 95.03 95.03 119.99°
Sites, in units of the cell vectors:
Pm (0.084, 0.418, 0.752)
Pm (0.249, 0.249, 0.248)
Pm (0.418, 0.084, 0.752)
Pm (0.582, 0.916, 0.248)
Pm (0.751, 0.751, 0.752)
Pm (0.916, 0.582, 0.248)
Sm (0.000, 0.000, 0.500)
Er (0.333, 0.667, 0.500)
Er (0.667, 0.333, 0.500)
Tm (0.167, 0.833, 0.000)
Tm (0.500, 0.500, 0.000)
Tm (0.833, 0.167, 0.000)

Calculated values
Total magnetic moment, μB/cell: 0.00
D(E_F), states/eV per cell: 13.48
Electronic total energy, eV per atom: -4.6316
Space group: C2/m, No. 12
ΔE_f, meV/atom: 15
Mass density, g/cm3: 7.96

---

12.
Compound: Pm6Sm3ErTm2
Source: the Alexandria database
Functional: GGA-PBE
Structure: relaxed

Cell: 6.257 6.257 11.886 Å, 95.02 95.02 120.00°
Sites, in units of the cell vectors:
Pm (0.084, 0.417, 0.754)
Pm (0.249, 0.249, 0.246)
Pm (0.417, 0.084, 0.754)
Pm (0.583, 0.916, 0.246)
Pm (0.751, 0.751, 0.754)
Pm (0.916, 0.583, 0.246)
Sm (0.000, 0.000, 0.500)
Sm (0.333, 0.667, 0.500)
Sm (0.667, 0.333, 0.500)
Er (0.500, 0.500, 0.000)
Tm (0.167, 0.833, 0.000)
Tm (0.833, 0.167, 0.000)

Calculated values
Total magnetic moment, μB/cell: 0.00
D(E_F), states/eV per cell: 14.82
Electronic total energy, eV per atom: -4.6647
Space group: C2/m, No. 12
ΔE_f, meV/atom: 16
Mass density, g/cm3: 7.64

---

13.
Compound: PmSm3Y2Er6
Source: the Alexandria database
Functional: GGA-PBE
Structure: relaxed

Cell: 6.168 6.168 11.762 Å, 95.00 95.00 119.97°
Sites, in units of the cell vectors:
Pm (0.000, 0.000, 0.000)
Sm (0.167, 0.833, 0.500)
Sm (0.500, 0.500, 0.500)
Sm (0.833, 0.167, 0.500)
Y (0.333, 0.667, 0.000)
Y (0.667, 0.333, 0.000)
Er (0.083, 0.416, 0.249)
Er (0.250, 0.250, 0.751)
Er (0.416, 0.083, 0.249)
Er (0.584, 0.917, 0.751)
Er (0.750, 0.750, 0.249)
Er (0.917, 0.584, 0.751)

Calculated values
Total magnetic moment, μB/cell: 0.00
D(E_F), states/eV per cell: 15.55
Electronic total energy, eV per atom: -4.9153
Space group: C2/m, No. 12
ΔE_f, meV/atom: 19
Mass density, g/cm3: 7.73

---

14.
Compound: PmSmYEr2
Source: the Alexandria database
Functional: GGA-PBE
Structure: relaxed

Cell: 7.114 7.114 7.176 Å, 90.00 90.00 107.97°
Sites, in units of the cell vectors:
Pm (0.013, 0.987, 0.750)
Pm (0.987, 0.013, 0.250)
Sm (0.280, 0.720, 0.750)
Sm (0.720, 0.280, 0.250)
Y (0.271, 0.729, 0.250)
Y (0.729, 0.271, 0.750)
Er (0.313, 0.313, 0.000)
Er (0.313, 0.313, 0.500)
Er (0.687, 0.687, 0.000)
Er (0.687, 0.687, 0.500)

Calculated values
Total magnetic moment, μB/cell: 0.00
D(E_F), states/eV per cell: 17.30
Electronic total energy, eV per atom: -4.6244
Space group: Cmcm, No. 63
ΔE_f, meV/atom: 388
Mass density, g/cm3: 6.91

---

15.
Compound: Pm4Sm2YEr2
Source: the Alexandria database
Functional: GGA-PBE
Structure: relaxed

Cell: 8.078 8.078 8.046 Å, 107.56 107.56 36.84°
Sites, in units of the cell vectors:
Pm (0.055, 0.055, 0.332)
Pm (0.278, 0.278, 0.669)
Pm (0.722, 0.722, 0.331)
Pm (0.945, 0.945, 0.668)
Sm (0.388, 0.388, 0.331)
Sm (0.612, 0.612, 0.669)
Y (0.500, 0.500, 0.000)
Er (0.167, 0.167, 0.000)
Er (0.833, 0.833, 0.000)

Calculated values
Total magnetic moment, μB/cell: 0.00
D(E_F), states/eV per cell: 14.03
Electronic total energy, eV per atom: -4.8725
Space group: C2/m, No. 12
ΔE_f, meV/atom: 20
Mass density, g/cm3: 7.26

---

16.
Compound: Pm2SmYEr5
Source: the Alexandria database
Functional: GGA-PBE
Structure: relaxed

Cell: 9.878 9.878 9.878 Å, 128.34 128.34 76.07°
Sites, in units of the cell vectors:
Pm (0.118, 0.618, 0.735)
Pm (0.382, 0.118, 0.500)
Pm (0.618, 0.882, 0.500)
Pm (0.882, 0.382, 0.265)
Sm (0.250, 0.750, 0.500)
Sm (0.750, 0.250, 0.500)
Y (0.250, 0.250, 0.000)
Y (0.750, 0.750, 0.000)
Er (0.000, 0.000, 0.000)
Er (0.071, 0.152, 0.500)
Er (0.152, 0.652, 0.081)
Er (0.348, 0.429, 0.500)
Er (0.429, 0.929, 0.081)
Er (0.500, 0.500, 0.000)
Er (0.571, 0.071, 0.919)
Er (0.652, 0.571, 0.500)
Er (0.848, 0.348, 0.919)
Er (0.929, 0.848, 0.500)

Calculated values
Total magnetic moment, μB/cell: 0.00
D(E_F), states/eV per cell: 20.38
Electronic total energy, eV per atom: -4.5702
Space group: I4/mcm, No. 140
ΔE_f, meV/atom: 263
Mass density, g/cm3: 7.87

---

17.
Compound: Pm2Sm2YEr2
Source: the Alexandria database
Functional: GGA-PBE
Structure: relaxed

Cell: 6.224 6.224 8.031 Å, 97.51 97.51 48.16°
Sites, in units of the cell vectors:
Pm (0.143, 0.143, 0.429)
Pm (0.857, 0.857, 0.571)
Sm (0.429, 0.429, 0.283)
Sm (0.571, 0.571, 0.717)
Y (0.000, 0.000, 0.000)
Er (0.285, 0.285, 0.859)
Er (0.715, 0.715, 0.141)

Calculated values
Total magnetic moment, μB/cell: 0.00
D(E_F), states/eV per cell: 9.91
Electronic total energy, eV per atom: -4.9142
Space group: C2/m, No. 12
ΔE_f, meV/atom: 19
Mass density, g/cm3: 7.34

---

18.
Compound: Pm3SmY2Er6
Source: the Alexandria database
Functional: GGA-PBE
Structure: relaxed

Cell: 6.177 6.177 11.768 Å, 95.00 95.00 119.97°
Sites, in units of the cell vectors:
Pm (0.000, 0.000, 0.000)
Pm (0.333, 0.667, 0.000)
Pm (0.667, 0.333, 0.000)
Sm (0.500, 0.500, 0.500)
Y (0.167, 0.833, 0.500)
Y (0.833, 0.167, 0.500)
Er (0.084, 0.417, 0.251)
Er (0.250, 0.250, 0.749)
Er (0.417, 0.084, 0.251)
Er (0.583, 0.916, 0.749)
Er (0.750, 0.750, 0.251)
Er (0.916, 0.583, 0.749)

Calculated values
Total magnetic moment, μB/cell: 0.00
D(E_F), states/eV per cell: 15.56
Electronic total energy, eV per atom: -4.9204
Space group: C2/m, No. 12
ΔE_f, meV/atom: 19
Mass density, g/cm3: 7.66

---

19.
Compound: Pm3Sm6Y2Er
Source: the Alexandria database
Functional: GGA-PBE
Structure: relaxed

Cell: 6.267 6.267 11.966 Å, 95.00 95.00 120.00°
Sites, in units of the cell vectors:
Pm (0.000, 0.000, 0.000)
Pm (0.333, 0.667, 0.000)
Pm (0.667, 0.333, 0.000)
Sm (0.085, 0.417, 0.253)
Sm (0.250, 0.250, 0.747)
Sm (0.417, 0.085, 0.253)
Sm (0.583, 0.915, 0.747)
Sm (0.750, 0.750, 0.253)
Sm (0.915, 0.583, 0.747)
Y (0.167, 0.833, 0.500)
Y (0.833, 0.167, 0.500)
Er (0.500, 0.500, 0.500)

Calculated values
Total magnetic moment, μB/cell: 0.00
D(E_F), states/eV per cell: 16.04
Electronic total energy, eV per atom: -4.9900
Space group: C2/m, No. 12
ΔE_f, meV/atom: 15
Mass density, g/cm3: 6.97

---

20.
Compound: Pm2Sm2Y4Er
Source: the Alexandria database
Functional: GGA-PBE
Structure: relaxed

Cell: 9.588 9.588 9.645 Å, 115.24 115.24 21.80°
Sites, in units of the cell vectors:
Pm (0.165, 0.165, 0.000)
Pm (0.835, 0.835, 0.000)
Sm (0.352, 0.352, 0.335)
Sm (0.648, 0.648, 0.665)
Y (0.019, 0.019, 0.332)
Y (0.315, 0.315, 0.666)
Y (0.685, 0.685, 0.334)
Y (0.981, 0.981, 0.668)
Er (0.500, 0.500, 0.000)

Calculated values
Total magnetic moment, μB/cell: 0.00
D(E_F), states/eV per cell: 12.69
Electronic total energy, eV per atom: -5.4834
Space group: C2/m, No. 12
ΔE_f, meV/atom: 1
Mass density, g/cm3: 6.24